## P
! Cs6Na (PBE, relaxed); values from VASP
! * spin magnetization: 0.000 μB per cell
&SYSTEM
  ibrav = 0, nat = 7, ntyp = 2
/
ATOMIC_SPECIES
Cs 132.91 Cs.upf
Na 22.99 Na.upf
ATOMIC_POSITIONS crystal
Cs 0.250 0.750 0.500
Cs 0.500 0.750 0.250
Cs 0.250 0.500 0.750
Cs 0.750 0.250 0.500
Cs 0.500 0.250 0.750
Cs 0.750 0.500 0.250
Na 0.000 0.000 0.000
CELL_PARAMETERS angstrom
-8.415 -7.953 -0.313
6.782 -1.186 -9.315
6.328 -1.450 9.593

## Q
! Cs6Na (PBE, relaxed); values from VASP
! * spin magnetization: 0.000 μB per cell
&SYSTEM
  ibrav = 0, nat = 7, ntyp = 2
/
ATOMIC_SPECIES
Cs 132.91 Cs.upf
Na 22.99 Na.upf
ATOMIC_POSITIONS crystal
Cs 0.259 0.000 0.645
Cs 0.741 0.000 0.355
Cs 0.741 0.645 0.645
Cs 0.259 0.645 0.000
Cs 0.741 0.355 0.000
Cs 0.259 0.355 0.355
Na 0.000 0.000 0.000
CELL_PARAMETERS angstrom
9.281 0.000 0.000
0.000 8.407 -4.854
0.000 0.000 9.708

Most stable of them? Q.

## P
! CsNa5 (PBE, relaxed); values from VASP
! * spin magnetization: 0.000 μB per cell
&SYSTEM
  ibrav = 0, nat = 6, ntyp = 2
/
ATOMIC_SPECIES
Cs 132.91 Cs.upf
Na 22.99 Na.upf
ATOMIC_POSITIONS crystal
Cs 0.000 0.000 0.000
Na 0.000 0.654 0.309
Na 0.000 0.346 0.691
Na 0.500 0.500 0.000
Na 0.500 0.195 0.391
Na 0.500 0.805 0.609
CELL_PARAMETERS angstrom
-3.705 -1.933 -0.118
2.170 -3.848 -5.090
2.233 -4.833 9.068

## Q
! CsNa5 (PBE, relaxed); values from VASP
! * spin magnetization: 0.000 μB per cell
&SYSTEM
  ibrav = 0, nat = 6, ntyp = 2
/
ATOMIC_SPECIES
Cs 132.91 Cs.upf
Na 22.99 Na.upf
ATOMIC_POSITIONS crystal
Cs 0.000 0.000 0.500
Na 0.333 0.667 0.181
Na 0.000 0.000 0.000
Na 0.333 0.667 0.819
Na 0.667 0.333 0.819
Na 0.667 0.333 0.181
CELL_PARAMETERS angstrom
-1.686 -0.084 -5.781
-4.089 -0.834 4.341
-1.595 9.523 0.327

## R
! CsNa5 (PBE, relaxed); values from VASP
! * spin magnetization: 0.000 μB per cell
&SYSTEM
  ibrav = 0, nat = 6, ntyp = 2
/
ATOMIC_SPECIES
Cs 132.91 Cs.upf
Na 22.99 Na.upf
ATOMIC_POSITIONS crystal
Cs 0.000 0.000 0.000
Na 0.250 0.250 0.250
Na 0.623 0.623 0.130
Na 0.623 0.623 0.623
Na 0.623 0.130 0.623
Na 0.130 0.623 0.623
CELL_PARAMETERS angstrom
6.369 0.000 3.677
2.123 6.005 3.677
0.000 0.000 7.354

Most stable of them? R.

## P
! CsNa6 (PBE, relaxed); values from VASP
! * spin magnetization: 0.000 μB per cell
&SYSTEM
  ibrav = 0, nat = 7, ntyp = 2
/
ATOMIC_SPECIES
Cs 132.91 Cs.upf
Na 22.99 Na.upf
ATOMIC_POSITIONS crystal
Cs 0.000 0.000 0.000
Na 0.250 0.750 0.500
Na 0.500 0.750 0.250
Na 0.250 0.500 0.750
Na 0.750 0.250 0.500
Na 0.500 0.250 0.750
Na 0.750 0.500 0.250
CELL_PARAMETERS angstrom
-5.719 -4.027 3.926
-0.017 -2.176 -7.720
7.147 -1.673 3.234

## Q
! CsNa6 (PBE, relaxed); values from VASP
! * spin magnetization: 0.000 μB per cell
&SYSTEM
  ibrav = 0, nat = 28, ntyp = 2
/
ATOMIC_SPECIES
Cs 132.91 Cs.upf
Na 22.99 Na.upf
ATOMIC_POSITIONS crystal
Cs 0.750 0.242 0.936
Cs 0.250 0.758 0.064
Cs 0.750 0.742 0.564
Cs 0.250 0.258 0.436
Na 0.750 0.593 0.018
Na 0.250 0.407 0.982
Na 0.750 0.093 0.482
Na 0.250 0.907 0.518
Na 0.004 0.435 0.191
Na 0.504 0.565 0.809
Na 0.496 0.935 0.309
Na 0.996 0.065 0.691
Na 0.996 0.565 0.809
Na 0.496 0.435 0.191
Na 0.504 0.065 0.691
Na 0.004 0.935 0.309
Na 0.250 0.141 0.143
Na 0.750 0.859 0.857
Na 0.250 0.641 0.357
Na 0.750 0.359 0.643
Na 0.250 0.814 0.754
Na 0.750 0.186 0.246
Na 0.250 0.314 0.746
Na 0.750 0.686 0.254
Na 0.250 0.553 0.594
Na 0.750 0.447 0.406
Na 0.250 0.053 0.906
Na 0.750 0.947 0.094
CELL_PARAMETERS angstrom
-5.642 3.497 -2.820
-3.765 -10.133 -5.032
-8.065 -3.105 12.288

## R
! CsNa6 (PBE, relaxed); values from VASP
! * spin magnetization: 0.000 μB per cell
&SYSTEM
  ibrav = 0, nat = 7, ntyp = 2
/
ATOMIC_SPECIES
Cs 132.91 Cs.upf
Na 22.99 Na.upf
ATOMIC_POSITIONS crystal
Cs 0.000 0.000 0.000
Na 0.000 0.000 0.500
Na 0.500 0.500 0.000
Na 0.500 0.000 0.694
Na 0.000 0.500 0.306
Na 0.500 0.000 0.306
Na 0.000 0.500 0.694
CELL_PARAMETERS angstrom
-3.345 -4.424 1.885
4.347 -3.764 -1.118
3.548 1.313 9.378

Most stable of them? Q.

## P
! CsNa4 (PBE, relaxed); values from VASP
! * spin magnetization: 0.000 μB per cell
&SYSTEM
  ibrav = 0, nat = 5, ntyp = 2
/
ATOMIC_SPECIES
Cs 132.91 Cs.upf
Na 22.99 Na.upf
ATOMIC_POSITIONS crystal
Cs 0.500 0.500 0.500
Na 0.000 0.000 0.000
Na 0.500 0.000 0.500
Na 0.000 0.500 0.500
Na 0.500 0.500 0.000
CELL_PARAMETERS angstrom
-1.102 -1.183 -6.935
6.619 -2.554 -0.616
-2.385 -6.541 1.495

## Q
! CsNa4 (PBE, relaxed); values from VASP
! * spin magnetization: 0.000 μB per cell
&SYSTEM
  ibrav = 0, nat = 5, ntyp = 2
/
ATOMIC_SPECIES
Cs 132.91 Cs.upf
Na 22.99 Na.upf
ATOMIC_POSITIONS crystal
Cs 0.000 0.000 0.000
Na 0.750 0.250 0.500
Na 0.250 0.750 0.500
Na 0.377 0.377 0.247
Na 0.623 0.623 0.753
CELL_PARAMETERS angstrom
1.133 5.691 1.811
-3.264 -0.954 5.039
4.738 0.150 6.764

Most stable of them? Q.

## P
! CsNaNi3 (PBE, relaxed); values from VASP
! * spin magnetization: 1.186 μB per cell
&SYSTEM
  ibrav = 0, nat = 5, ntyp = 3
/
ATOMIC_SPECIES
Cs 132.91 Cs.upf
Ni 58.69 Ni.upf
Na 22.99 Na.upf
ATOMIC_POSITIONS crystal
Cs 0.500 0.500 0.500
Ni 0.000 0.500 0.000
Ni 0.000 0.000 0.500
Ni 0.500 0.000 0.000
Na 0.000 0.000 0.000
CELL_PARAMETERS angstrom
-4.158 -1.223 -2.438
0.262 -4.603 1.862
-2.714 1.429 3.913

## Q
! CsNaNi3 (PBE, relaxed); values from VASP
! * spin magnetization: 0.000 μB per cell
&SYSTEM
  ibrav = 0, nat = 5, ntyp = 3
/
ATOMIC_SPECIES
Cs 132.91 Cs.upf
Ni 58.69 Ni.upf
Na 22.99 Na.upf
ATOMIC_POSITIONS crystal
Cs 0.000 0.000 0.000
Ni 0.000 0.500 0.000
Ni 0.000 0.000 0.500
Ni 0.500 0.000 0.000
Na 0.500 0.500 0.500
CELL_PARAMETERS angstrom
-0.930 -4.102 2.638
3.007 -2.596 -2.977
3.839 1.040 2.971

Most stable of them? P.